No. 1
# PBE Gd2AlIn5, optimized geometry
# VASP energy	-3.698	eV/atom
data_Gd2AlIn5
_cell_length_a 5.062
_cell_length_b 6.642
_cell_length_c 11.569
_cell_angle_alpha 90.00
_cell_angle_beta 90.00
_cell_angle_gamma 90.00
_symmetry_space_group_name_H-M 'A m m 2'
_symmetry_Int_Tables_number 38
loop_
_symmetry_equiv_pos_as_xyz
'x,y,z'
'-x,-y,z'
'-x,y,z'
'x,-y,z'
'x,y+1/2,z+1/2'
'-x,-y+1/2,z+1/2'
'-x,y+1/2,z+1/2'
'x,-y+1/2,z+1/2'
loop_
_atom_site_label
_atom_site_fract_x
_atom_site_fract_y
_atom_site_fract_z
Gd1 0.000 0.000 0.000
Gd2 0.500 0.000 0.338
Al1 0.500 0.000 0.823
In1 0.000 0.000 0.511
In2 0.000 0.234 0.753
In3 0.500 0.239 0.592

No. 2
# PBE MoSe2, optimized geometry
# VASP energy	-6.383	eV/atom
data_MoSe2
_cell_length_a 3.2787
_cell_length_b 3.2787
_cell_length_c 19.7685
_cell_angle_alpha 90.00
_cell_angle_beta 90.00
_cell_angle_gamma 120.00
_symmetry_space_group_name_H-M 'R -3 m'
_symmetry_Int_Tables_number 166
_symmetry_space_group_name_Hall '-R 3 2"'
loop_
_atom_site_label
_atom_site_fract_x
_atom_site_fract_y
_atom_site_fract_z
Mo1 0.0000 0.0000 0.0000
Se1 0.0000 0.0000 0.2458

No. 3
# PBE TlAu15, optimized geometry
# energy above the most stable polymorph in this dataset	0.001	eV per atom
data_TlAu15
_cell_length_a 4.121
_cell_length_b 4.119
_cell_length_c 46.176
_cell_angle_alpha 90.00
_cell_angle_beta 90.00
_cell_angle_gamma 90.00
_symmetry_space_group_name_H-M 'P m m a'
_symmetry_Int_Tables_number 51
loop_
_symmetry_equiv_pos_as_xyz
'x,y,z'
'-x,-y,-z'
'-x+1/2,-y,z'
'x+1/2,y,-z'
'x+1/2,-y,-z'
'-x+1/2,y,z'
'-x,y,-z'
'x,-y,z'
loop_
_atom_site_label
_atom_site_fract_x
_atom_site_fract_y
_atom_site_fract_z
Tl1 0.250 0.000 0.144
Au1 0.250 0.000 0.253
Au2 0.250 0.000 0.343
Au3 0.250 0.000 0.433
Au4 0.250 0.000 0.522
Au5 0.250 0.000 0.612
Au6 0.250 0.000 0.702
Au7 0.250 0.000 0.793
Au8 0.250 0.500 0.207
Au9 0.250 0.500 0.298
Au10 0.250 0.500 0.388
Au11 0.250 0.500 0.478
Au12 0.250 0.500 0.567
Au13 0.250 0.500 0.657
Au14 0.250 0.500 0.747
Au15 0.250 0.500 0.837

No. 4
# PBE YGeAuSeS2, optimized geometry
# VASP energy	-5.201	eV/atom
data_YGeAuSeS2
_cell_length_a 4.032
_cell_length_b 13.968
_cell_length_c 10.352
_cell_angle_alpha 90.00
_cell_angle_beta 90.00
_cell_angle_gamma 90.00
_symmetry_space_group_name_H-M 'C m c m'
_symmetry_Int_Tables_number 63
_symmetry_space_group_name_Hall '-C 2c 2'
loop_
_atom_site_label
_atom_site_fract_x
_atom_site_fract_y
_atom_site_fract_z
Y1 0.000 0.000 0.000
Ge1 0.000 0.300 0.250
Au1 0.000 0.347 0.750
Se1 0.000 0.078 0.750
S1 0.000 0.366 0.523

No. 5
# PBE DyErIn, optimized geometry
# energy above the most stable polymorph in this dataset	0.001	eV per atom
data_DyErIn
_cell_length_a 5.3623
_cell_length_b 5.3623
_cell_length_c 6.6833
_cell_angle_alpha 90.00
_cell_angle_beta 90.00
_cell_angle_gamma 120.00
_symmetry_space_group_name_H-M 'P 63/m m c'
_symmetry_Int_Tables_number 194
_symmetry_space_group_name_Hall '-P 6c 2c'
loop_
_atom_site_label
_atom_site_fract_x
_atom_site_fract_y
_atom_site_fract_z
Dy1 0.3333 0.6667 0.2500
Er1 0.0000 0.0000 0.0000
In1 0.3333 0.6667 0.7500

No. 6
# PBE ErBPO, optimized geometry
# energy above the most stable polymorph in this dataset	0.093	eV per atom
data_ErBPO
_cell_length_a 3.373
_cell_length_b 6.568
_cell_length_c 5.646
_cell_angle_alpha 90.00
_cell_angle_beta 90.00
_cell_angle_gamma 90.00
_symmetry_space_group_name_H-M 'P m c 21'
_symmetry_Int_Tables_number 26
loop_
_symmetry_equiv_pos_as_xyz
'x,y,z'
'-x,-y,z+1/2'
'-x,y,z'
'x,-y,z+1/2'
loop_
_atom_site_label
_atom_site_fract_x
_atom_site_fract_y
_atom_site_fract_z
Er1 0.000 0.217 0.000
B1 0.500 0.363 0.497
P1 0.000 0.204 0.499
O1 0.500 0.427 0.997

No. 7
# PBE Na4CuP2Pt, optimized geometry
# VASP energy	-3.660	eV/atom
data_Na4CuP2Pt
_cell_length_a 6.878
_cell_length_b 8.669
_cell_length_c 5.283
_cell_angle_alpha 90.00
_cell_angle_beta 91.16
_cell_angle_gamma 90.00
_symmetry_space_group_name_H-M 'C 1 2/m 1'
_symmetry_Int_Tables_number 12
loop_
_symmetry_equiv_pos_as_xyz
'x,y,z'
'-x,-y,-z'
'-x,y,-z'
'x,-y,z'
'x+1/2,y+1/2,z'
'-x+1/2,-y+1/2,-z'
'-x+1/2,y+1/2,-z'
'x+1/2,-y+1/2,z'
loop_
_atom_site_label
_atom_site_fract_x
_atom_site_fract_y
_atom_site_fract_z
Na1 0.147 0.177 0.254
Cu1 0.000 0.500 0.000
P1 0.227 0.000 0.757
Pt1 0.000 0.500 0.500

No. 8
# PBE MgGa2FePd4, optimized geometry
# VASP energy	-5.104	eV/atom
data_MgGa2FePd4
_cell_length_a 4.355
_cell_length_b 4.355
_cell_length_c 6.229
_cell_angle_alpha 90.00
_cell_angle_beta 90.00
_cell_angle_gamma 90.00
_symmetry_space_group_name_H-M 'P 4/m m m'
_symmetry_Int_Tables_number 123
_symmetry_space_group_name_Hall '-P 4 2'
loop_
_atom_site_label
_atom_site_fract_x
_atom_site_fract_y
_atom_site_fract_z
Mg1 0.000 0.000 0.000
Ga1 0.000 0.000 0.500
Ga2 0.500 0.500 0.000
Fe1 0.500 0.500 0.500
Pd1 0.000 0.500 0.261

No. 9
# PBE NdCuIr, optimized geometry
# E_form	-28.9	meV per atom
data_NdCuIr
_cell_length_a 6.461
_cell_length_b 6.461
_cell_length_c 6.461
_cell_angle_alpha 90.00
_cell_angle_beta 90.00
_cell_angle_gamma 90.00
_symmetry_space_group_name_H-M 'F -4 3 m'
_symmetry_Int_Tables_number 216
_symmetry_space_group_name_Hall 'F -4 2 3'
loop_
_atom_site_label
_atom_site_fract_x
_atom_site_fract_y
_atom_site_fract_z
Nd1 0.000 0.000 0.000
Cu1 0.000 0.000 0.500
Ir1 0.250 0.250 0.250

No. 10
# PBE Gd2TmNi9, optimized geometry
# E_form	-403.3	meV per atom
data_Gd2TmNi9
_cell_length_a 4.9359
_cell_length_b 4.9359
_cell_length_c 24.4266
_cell_angle_alpha 90.00
_cell_angle_beta 90.00
_cell_angle_gamma 120.00
_symmetry_space_group_name_H-M 'R -3 m'
_symmetry_Int_Tables_number 166
_symmetry_space_group_name_Hall '-R 3 2"'
loop_
_atom_site_label
_atom_site_fract_x
_atom_site_fract_y
_atom_site_fract_z
Gd1 0.0000 0.0000 0.1383
Tm1 0.0000 0.0000 0.0000
Ni1 0.0000 0.0000 0.3330
Ni2 0.0000 0.0000 0.5000
Ni3 0.9996 0.4998 0.0811

No. 11
# PBE Ag3B5O9, optimized geometry
# VASP energy	-6.877	eV/atom
data_Ag3B5O9
_cell_length_a 6.740
_cell_length_b 9.343
_cell_length_c 10.935
_cell_angle_alpha 90.00
_cell_angle_beta 90.00
_cell_angle_gamma 90.00
_symmetry_space_group_name_H-M 'P 21 21 21'
_symmetry_Int_Tables_number 19
loop_
_symmetry_equiv_pos_as_xyz
'x,y,z'
'-x+1/2,-y,z+1/2'
'x+1/2,-y+1/2,-z'
'-x,y+1/2,-z+1/2'
loop_
_atom_site_label
_atom_site_fract_x
_atom_site_fract_y
_atom_site_fract_z
Ag1 0.017 0.082 0.094
Ag2 0.061 0.310 0.507
Ag3 0.178 0.732 0.213
B1 0.004 0.916 0.572
B2 0.025 0.037 0.766
B3 0.152 0.018 0.378
B4 0.195 0.746 0.782
B5 0.204 0.417 0.114
O1 0.015 0.898 0.698
O2 0.051 0.649 0.816
O3 0.058 0.525 0.158
O4 0.095 0.526 0.623
O5 0.165 0.963 0.506
O6 0.172 0.385 0.984
O7 0.179 0.284 0.186
O8 0.233 0.068 0.794
O9 0.239 0.166 0.380

No. 12
# PBE SrHgW, optimized geometry
# energy above the most stable polymorph in this dataset	0.436	eV per atom
data_SrHgW
_cell_length_a 7.345
_cell_length_b 7.345
_cell_length_c 7.345
_cell_angle_alpha 90.00
_cell_angle_beta 90.00
_cell_angle_gamma 90.00
_symmetry_space_group_name_H-M 'F -4 3 m'
_symmetry_Int_Tables_number 216
_symmetry_space_group_name_Hall 'F -4 2 3'
loop_
_atom_site_label
_atom_site_fract_x
_atom_site_fract_y
_atom_site_fract_z
Sr1 0.000 0.000 0.000
Hg1 0.250 0.250 0.750
W1 0.250 0.250 0.250